Entry 1:
# ZrCSeBr2

A relaxed ZrCSeBr2 crystal (GGA-PBEsol, the Alexandria database).

a = 4.496 Å, b = 4.496 Å, c = 4.455 Å
α = 90.00°, β = 90.00°, γ = 90.00°
Atoms (fractional coordinates):
Zr 0.000 0.000 0.000
C 0.500 0.500 0.500
Se 0.500 0.500 0.000
Br 0.000 0.500 0.500
Br 0.500 0.000 0.500

Computed properties:
The uncorrected formation energy is 742 meV per atom. The calculation puts the total moment at 0.253 μB per atom. The value obtained for the electronic total energy is -22.61 eV per formula unit.

***

Entry 2:
# SiC2Br

A relaxed SiC2Br crystal (GGA-PBEsol, the Alexandria database).

a = 5.583 Å, b = 5.583 Å, c = 5.583 Å
α = 125.63°, β = 125.63°, γ = 80.49°
Atoms (fractional coordinates):
Si 0.000 0.000 0.000
Si 0.750 0.250 0.500
C 0.032 0.125 0.407
C 0.375 0.968 0.093
C 0.718 0.625 0.593
C 0.875 0.282 0.907
Br 0.250 0.750 0.500
Br 0.500 0.500 0.000

Computed properties:
The uncorrected formation energy is 1440 meV per atom. The calculation puts the total moment at 0.000 μB per atom. The value obtained for the electronic total energy is -21.15 eV per formula unit.

***

Entry 3:
# SiTcCBr2

A relaxed SiTcCBr2 crystal (GGA-PBEsol, the Alexandria database).

a = 4.631 Å, b = 4.631 Å, c = 3.662 Å
α = 90.00°, β = 90.00°, γ = 90.00°
Atoms (fractional coordinates):
Si 0.000 0.000 0.000
Tc 0.500 0.500 0.000
C 0.000 0.000 0.500
Br 0.000 0.500 0.500
Br 0.500 0.000 0.500

Computed properties:
The uncorrected formation energy is 1590 meV per atom. The calculation puts the total moment at 0.002 μB per atom. The value obtained for the electronic total energy is -22.45 eV per formula unit.

***

Entry 4:
# Ti2SiCBr

A relaxed Ti2SiCBr crystal (GGA-PBEsol, the Alexandria database).

a = 4.758 Å, b = 4.758 Å, c = 3.543 Å
α = 90.00°, β = 90.00°, γ = 90.00°
Atoms (fractional coordinates):
Ti 0.000 0.500 0.000
Ti 0.500 0.000 0.000
Si 0.000 0.000 0.000
C 0.000 0.000 0.500
Br 0.500 0.500 0.500

Computed properties:
The uncorrected formation energy is 629 meV per atom. The calculation puts the total moment at 0.003 μB per atom. The value obtained for the electronic total energy is -30.76 eV per formula unit.

***

Entry 5:
# Sn2CBr

A relaxed Sn2CBr crystal (GGA-PBEsol, the Alexandria database).

a = 4.851 Å, b = 4.851 Å, c = 4.851 Å
α = 60.00°, β = 60.00°, γ = 60.00°
Atoms (fractional coordinates):
Sn 0.250 0.250 0.250
Sn 0.750 0.750 0.750
C 0.000 0.000 0.000
Br 0.500 0.500 0.500

Computed properties:
The uncorrected formation energy is 1201 meV per atom. The calculation puts the total moment at 0.000 μB per atom. The value obtained for the electronic total energy is -15.23 eV per formula unit.

***

Entry 6:
# SnC3Br

A relaxed SnC3Br crystal (GGA-PBEsol, the Alexandria database).

a = 4.060 Å, b = 4.060 Å, c = 4.060 Å
α = 90.00°, β = 90.00°, γ = 90.00°
Atoms (fractional coordinates):
Sn 0.000 0.000 0.000
C 0.000 0.500 0.500
C 0.500 0.000 0.500
C 0.500 0.500 0.000
Br 0.500 0.500 0.500

Computed properties:
The uncorrected formation energy is 3164 meV per atom. The calculation puts the total moment at 0.000 μB per atom. The value obtained for the electronic total energy is -19.24 eV per formula unit.

***

Entry 7:
# TbCBr

A relaxed TbCBr crystal (GGA-PBEsol, the Alexandria database).

a = 3.934 Å, b = 3.934 Å, c = 10.231 Å
α = 98.05°, β = 98.05°, γ = 56.90°
Atoms (fractional coordinates):
Tb 0.089 0.089 0.355
Tb 0.911 0.911 0.645
C 0.412 0.412 0.463
C 0.588 0.588 0.537
Br 0.296 0.296 0.829
Br 0.704 0.704 0.171

Computed properties:
The uncorrected formation energy is -1104 meV per atom. The calculation puts the total moment at 0.000 μB per atom. The value obtained for the electronic total energy is -19.84 eV per formula unit.

***

Entry 8:
# Te2CBr

A relaxed Te2CBr crystal (GGA-PBEsol, the Alexandria database).

a = 6.305 Å, b = 6.305 Å, c = 6.305 Å
α = 112.71°, β = 112.71°, γ = 103.18°
Atoms (fractional coordinates):
Te 0.020 0.625 0.895
Te 0.375 0.270 0.395
Te 0.730 0.125 0.105
Te 0.875 0.980 0.605
C 0.000 0.000 0.000
C 0.750 0.250 0.500
Br 0.250 0.750 0.500
Br 0.500 0.500 0.000

Computed properties:
The uncorrected formation energy is 830 meV per atom. The calculation puts the total moment at 0.000 μB per atom. The value obtained for the electronic total energy is -15.25 eV per formula unit.

***

Entry 9:
# TeCBr2

A relaxed TeCBr2 crystal (GGA-PBEsol, the Alexandria database).

a = 4.904 Å, b = 4.904 Å, c = 4.904 Å
α = 60.00°, β = 60.00°, γ = 60.00°
Atoms (fractional coordinates):
Te 0.000 0.000 0.000
C 0.500 0.500 0.500
Br 0.250 0.250 0.250
Br 0.750 0.750 0.750

Computed properties:
The uncorrected formation energy is 1824 meV per atom. The calculation puts the total moment at 0.247 μB per atom. The value obtained for the electronic total energy is -9.61 eV per formula unit.

***

Entry 10:
# TiC3Br

A relaxed TiC3Br crystal (GGA-PBEsol, the Alexandria database).

a = 4.137 Å, b = 4.137 Å, c = 4.137 Å
α = 90.00°, β = 90.00°, γ = 90.00°
Atoms (fractional coordinates):
Ti 0.000 0.000 0.000
C 0.000 0.000 0.500
C 0.000 0.500 0.000
C 0.500 0.000 0.000
Br 0.500 0.500 0.500

Computed properties:
The uncorrected formation energy is 2317 meV per atom. The calculation puts the total moment at 0.000 μB per atom. The value obtained for the electronic total energy is -27.54 eV per formula unit.

***

Entry 11:
# ZrTiC2Br

A relaxed ZrTiC2Br crystal (GGA-PBEsol, the Alexandria database).

a = 3.977 Å, b = 3.977 Å, c = 5.324 Å
α = 90.00°, β = 90.00°, γ = 90.00°
Atoms (fractional coordinates):
Zr 0.000 0.000 0.000
Ti 0.000 0.000 0.500
C 0.000 0.500 0.500
C 0.500 0.000 0.500
Br 0.500 0.500 0.000

Computed properties:
The uncorrected formation energy is 1168 meV per atom. The calculation puts the total moment at 0.000 μB per atom. The value obtained for the electronic total energy is -32.73 eV per formula unit.

***

Entry 12:
# TlCBr3

A relaxed TlCBr3 crystal (GGA-PBEsol, the Alexandria database).

a = 4.819 Å, b = 4.819 Å, c = 4.819 Å
α = 90.00°, β = 90.00°, γ = 90.00°
Atoms (fractional coordinates):
Tl 0.000 0.000 0.000
C 0.500 0.500 0.500
Br 0.000 0.500 0.500
Br 0.500 0.000 0.500
Br 0.500 0.500 0.000

Computed properties:
The uncorrected formation energy is 530 meV per atom. The calculation puts the total moment at 0.000 μB per atom. The value obtained for the electronic total energy is -15.23 eV per formula unit.